No. 1
# HfPaS (GGA-PBE, optimized geometry)
# VASP energy (Ha/atom): -0.3186
# Size of the total moment (μB per formula unit): 0.00
# ΔE_f (raw) (eV per atom): -0.81
# Crystal system: trigonal
data_HfPaS
_chemical_formula_sum 'Hf1 Pa1 S1'
_space_group_name_H-M_alt 'P 3 m 1'
_space_group_IT_number 156
_space_group_name_Hall 'P 3 -2"'
_cell_length_a 3.4247
_cell_length_b 3.4247
_cell_length_c 6.3591
_cell_angle_alpha 90.00
_cell_angle_beta 90.00
_cell_angle_gamma 120.00
loop_
_atom_site_label
_atom_site_type_symbol
_atom_site_fract_x
_atom_site_fract_y
_atom_site_fract_z
Hf1 Hf 0.0000 0.0000 0.0000
Pa1 Pa 0.6667 0.3333 0.4280
S1 S 0.3333 0.6667 0.7463

No. 2
# HfPaS3 (GGA-PBE, optimized geometry)
# ΔE to the lowest computed polymorph (meV per atom): 0
# VASP energy (Ha/atom): -0.2915
# Size of the total moment (μB per formula unit): 0.76
# ΔE_f (raw) (eV per atom): -1.57
# Crystal system: orthorhombic
data_HfPaS3
_chemical_formula_sum 'Hf4 Pa4 S12'
_space_group_name_H-M_alt 'P n m a'
_space_group_IT_number 62
_space_group_name_Hall '-P 2ac 2n'
_cell_length_a 8.1433
_cell_length_b 3.5973
_cell_length_c 13.6027
_cell_angle_alpha 90.00
_cell_angle_beta 90.00
_cell_angle_gamma 90.00
loop_
_atom_site_label
_atom_site_type_symbol
_atom_site_fract_x
_atom_site_fract_y
_atom_site_fract_z
Hf1 Hf 0.1636 0.2500 0.0397
Pa1 Pa 0.1424 0.7500 0.2986
S1 S 0.0145 0.2500 0.8784
S2 S 0.1501 0.7500 0.6949
S3 S 0.1626 0.2500 0.4539

No. 3
# Hf2Pa2S7 (GGA-PBE, optimized geometry)
# VASP energy (Ha/atom): -0.2776
# Size of the total moment (μB per formula unit): 2.62
# ΔE_f (raw) (eV per atom): -1.39
# Crystal system: monoclinic
data_Hf2Pa2S7
_chemical_formula_sum 'Hf4 Pa4 S14'
_space_group_name_H-M_alt 'C 1 2/m 1'
_space_group_IT_number 12
_space_group_name_Hall '-C 2y'
_cell_length_a 7.7250
_cell_length_b 11.4685
_cell_length_c 6.9644
_cell_angle_alpha 90.00
_cell_angle_beta 95.54
_cell_angle_gamma 90.00
loop_
_atom_site_label
_atom_site_type_symbol
_atom_site_fract_x
_atom_site_fract_y
_atom_site_fract_z
Hf1 Hf 0.2201 0.0000 0.1147
Pa1 Pa 0.0000 0.1694 0.5000
S1 S 0.0000 0.5000 0.0000
S2 S 0.0943 0.0000 0.7696
S3 S 0.2214 0.3139 0.7148

No. 4
# HfPaS3 (GGA-PBE, optimized geometry)
# ΔE to the lowest computed polymorph (meV per atom): 12
# VASP energy (Ha/atom): -0.2911
# Size of the total moment (μB per formula unit): 0.84
# ΔE_f (raw) (eV per atom): -1.55
# Crystal system: monoclinic
data_HfPaS3
_chemical_formula_sum 'Hf4 Pa4 S12'
_space_group_name_H-M_alt 'C 1 2/m 1'
_space_group_IT_number 12
_space_group_name_Hall '-C 2y'
_cell_length_a 13.7049
_cell_length_b 3.6586
_cell_length_c 10.2204
_cell_angle_alpha 90.00
_cell_angle_beta 126.49
_cell_angle_gamma 90.00
loop_
_atom_site_label
_atom_site_type_symbol
_atom_site_fract_x
_atom_site_fract_y
_atom_site_fract_z
Hf1 Hf 0.2477 0.0000 0.1343
Pa1 Pa 0.0800 0.5000 0.4140
S1 S 0.1040 0.5000 0.9392
S2 S 0.1102 0.0000 0.6577
S3 S 0.1702 0.0000 0.3123

No. 5
# SrHfPa2S8 (GGA-PBE, optimized geometry)
# VASP energy (Ha/atom): -0.2521
# Size of the total moment (μB per formula unit): 0.00
# ΔE_f (raw) (eV per atom): -1.56
# Crystal system: monoclinic
data_SrHfPa2S8
_chemical_formula_sum 'Sr1 Hf1 Pa2 S8'
_space_group_name_H-M_alt 'P 1 2/m 1'
_space_group_IT_number 10
_space_group_name_Hall '-P 2y'
_cell_length_a 6.0808
_cell_length_b 8.3096
_cell_length_c 6.3414
_cell_angle_alpha 90.00
_cell_angle_beta 91.40
_cell_angle_gamma 90.00
loop_
_atom_site_label
_atom_site_type_symbol
_atom_site_fract_x
_atom_site_fract_y
_atom_site_fract_z
Sr1 Sr 0.0000 0.0000 0.0000
Hf1 Hf 0.0000 0.5000 0.0000
Pa1 Pa 0.5000 0.2534 0.5000
S1 S 0.2317 0.2839 0.1730
S2 S 0.2737 0.5000 0.6746
S3 S 0.2832 0.0000 0.6365

No. 6
# Hf2PaSb4 (GGA-PBE, optimized geometry)
# VASP energy (Ha/atom): -0.2539
# Size of the total moment (μB per formula unit): 0.39
# ΔE_f (raw) (eV per atom): -0.35
# Crystal system: orthorhombic
data_Hf2PaSb4
_chemical_formula_sum 'Hf8 Pa4 Sb16'
_space_group_name_H-M_alt 'C m c m'
_space_group_IT_number 63
_space_group_name_Hall '-C 2c 2'
_cell_length_a 4.1825
_cell_length_b 13.1521
_cell_length_c 14.0524
_cell_angle_alpha 90.00
_cell_angle_beta 90.00
_cell_angle_gamma 90.00
loop_
_atom_site_label
_atom_site_type_symbol
_atom_site_fract_x
_atom_site_fract_y
_atom_site_fract_z
Hf1 Hf 0.0000 0.1340 0.0603
Pa1 Pa 0.0000 0.3830 0.2500
Sb1 Sb 0.0000 0.0566 0.2500
Sb2 Sb 0.0000 0.2294 0.6265
Sb3 Sb 0.0000 0.5000 0.0000

No. 7
# Hf3PaSb2 (GGA-PBE, optimized geometry)
# VASP energy (Ha/atom): -0.3023
# Size of the total moment (μB per formula unit): 0.00
# ΔE_f (raw) (eV per atom): -0.29
# Crystal system: monoclinic
data_Hf3PaSb2
_chemical_formula_sum 'Hf12 Pa4 Sb8'
_space_group_name_H-M_alt 'C 1 2/m 1'
_space_group_IT_number 12
_space_group_name_Hall '-C 2y'
_cell_length_a 16.7112
_cell_length_b 3.6717
_cell_length_c 10.1034
_cell_angle_alpha 90.00
_cell_angle_beta 110.98
_cell_angle_gamma 90.00
loop_
_atom_site_label
_atom_site_type_symbol
_atom_site_fract_x
_atom_site_fract_y
_atom_site_fract_z
Hf1 Hf 0.0544 0.0000 0.1465
Hf2 Hf 0.1293 0.5000 0.9665
Hf3 Hf 0.1927 0.5000 0.3734
Pa1 Pa 0.1139 0.0000 0.5825
Sb1 Sb 0.0067 0.5000 0.3247
Sb2 Sb 0.2461 0.0000 0.1855

No. 8
# Hf2PaSb (GGA-PBE, optimized geometry)
# ΔE to the lowest computed polymorph (meV per atom): 0
# VASP energy (Ha/atom): -0.3161
# Size of the total moment (μB per formula unit): 0.00
# ΔE_f (raw) (eV per atom): -0.22
# Crystal system: tetragonal
data_Hf2PaSb
_chemical_formula_sum 'Hf2 Pa1 Sb1'
_space_group_name_H-M_alt 'P 4/m m m'
_space_group_IT_number 123
_space_group_name_Hall '-P 4 2'
_cell_length_a 4.7345
_cell_length_b 4.7345
_cell_length_c 4.0285
_cell_angle_alpha 90.00
_cell_angle_beta 90.00
_cell_angle_gamma 90.00
loop_
_atom_site_label
_atom_site_type_symbol
_atom_site_fract_x
_atom_site_fract_y
_atom_site_fract_z
Hf1 Hf 0.0000 0.5000 0.0000
Pa1 Pa 0.0000 0.0000 0.5000
Sb1 Sb 0.5000 0.5000 0.5000